Entry from the Alexandria database: an optimized crystal structure of Pm2NiHg3 (GGA-PBE). Values from VASP.

Structure (Quantum ESPRESSO input):
```
&SYSTEM
  ibrav = 0, nat = 6, ntyp = 3
/
ATOMIC_SPECIES
Pm 145.00 Pm.upf
Ni 58.69 Ni.upf
Hg 200.59 Hg.upf
ATOMIC_POSITIONS angstrom
Pm 0.000 0.000 4.045
Ni 1.799 2.392 2.711
Hg 1.799 0.000 7.025
Hg 1.799 2.392 5.404
Hg 1.799 0.000 1.508
Pm 0.000 2.392 0.365
CELL_PARAMETERS angstrom
3.598 0.000 0.000
0.000 4.785 0.000
0.000 0.000 8.423
```

Values from the calculation:
**Crystal system**: orthorhombic
**Calculated formation energy**: -2.25 eV/f.u.
**Space-group type**: No. 25
**Total energy**: -18.44 eV per cell

***

Entry from the Alexandria database: an optimized crystal structure of K2Mn2C (GGA-PBE). Values from VASP.

Structure (Quantum ESPRESSO input):
```
&SYSTEM
  ibrav = 0, nat = 5, ntyp = 3
/
ATOMIC_SPECIES
K 39.10 K.upf
Mn 54.94 Mn.upf
C 12.01 C.upf
ATOMIC_POSITIONS angstrom
K 3.270 6.540 1.402
Mn 6.540 6.540 1.844
Mn 3.270 3.270 0.960
C 0.000 0.000 0.000
K 6.540 3.270 1.402
CELL_PARAMETERS angstrom
6.540 0.000 0.000
0.000 6.540 0.000
3.270 3.270 2.804
```

Values from the calculation:
**Crystal system**: tetragonal
**Calculated formation energy**: 7.70 eV/f.u.
**Space-group type**: No. 139
**Total energy**: -22.06 eV per cell
**Relative energy among the computed polymorphs**: 658 meV/atom

***

Entry from the Alexandria database: an optimized crystal structure of TaNbCuSb2 (GGA-PBE). Values from VASP.

Structure (Quantum ESPRESSO input):
```
&SYSTEM
  ibrav = 0, nat = 5, ntyp = 4
/
ATOMIC_SPECIES
Nb 92.91 Nb.upf
Sb 121.76 Sb.upf
Cu 63.55 Cu.upf
Ta 180.95 Ta.upf
ATOMIC_POSITIONS angstrom
Nb -1.901 -0.259 1.566
Sb -1.591 1.213 -1.730
Cu -2.906 3.288 0.934
Ta 0.000 0.000 0.000
Sb 0.586 2.334 1.098
CELL_PARAMETERS angstrom
-3.182 2.426 -3.460
-3.801 -0.518 3.132
1.172 4.668 2.195
```

Values from the calculation:
**Crystal system**: tetragonal
**ΔE_f (raw)**: 1184 meV/atom
**Space-group type**: No. 123
**Total energy**: -28.34 eV per cell

***

Entry from the Alexandria database: an optimized crystal structure of InBi2Au4 (GGA-PBE). Values from VASP.

Structure (Quantum ESPRESSO input):
```
&SYSTEM
  ibrav = 0, nat = 14, ntyp = 3
/
ATOMIC_SPECIES
Au 196.97 Au.upf
Bi 208.98 Bi.upf
In 114.82 In.upf
ATOMIC_POSITIONS angstrom
Au 0.343 8.225 5.443
Bi 1.160 3.427 1.064
In 1.744 0.279 5.481
Au 1.709 6.283 7.048
Au 3.371 8.430 6.240
Au 4.120 2.868 1.383
Au 2.458 0.721 2.191
In 4.085 8.873 2.950
Au 4.389 6.308 4.314
Bi 1.475 5.842 3.949
Au 5.487 0.927 2.987
Au 1.440 2.843 4.117
Bi 4.669 5.724 7.367
Bi 4.354 3.309 4.481
CELL_PARAMETERS angstrom
5.936 -0.271 0.294
-0.421 9.514 2.172
0.314 -0.092 5.964
```

Values from the calculation:
**Crystal system**: triclinic
**Calculated formation energy**: -0.29 eV/f.u.
**Space-group type**: No. 2
**Total energy**: -47.80 eV per cell

***

Entry from the Alexandria database: an optimized crystal structure of Cd3SnHg5 (GGA-PBE). Values from VASP.

Structure (Quantum ESPRESSO input):
```
&SYSTEM
  ibrav = 0, nat = 18, ntyp = 3
/
ATOMIC_SPECIES
Hg 200.59 Hg.upf
Cd 112.41 Cd.upf
Sn 118.71 Sn.upf
ATOMIC_POSITIONS angstrom
Hg -2.593 -2.346 -7.547
Hg -4.244 -5.904 -5.671
Cd -5.484 -3.971 -7.457
Sn 0.000 0.000 0.000
Hg -1.199 -1.255 -2.794
Cd 0.064 -2.254 -9.048
Cd 1.692 0.370 -2.884
Sn -1.129 1.904 -1.882
Cd -1.457 -3.475 -4.885
Hg 1.842 -2.876 -4.015
Cd -3.856 -1.347 -1.293
Hg -4.504 -2.629 -4.444
Cd -2.335 -0.126 -5.456
Hg 0.229 -4.687 -7.123
Hg -3.376 -4.533 -2.562
Hg 0.452 2.303 -4.670
Hg 0.713 -0.972 -5.897
Hg -4.020 1.086 -3.218
CELL_PARAMETERS angstrom
-2.258 3.809 -3.764
6.682 -1.724 -5.753
-8.216 -5.685 -0.824
```

Values from the calculation:
**Crystal system**: orthorhombic
**Calculated formation energy**: 0.62 eV/f.u.
**Space-group type**: No. 63
**Total energy**: -15.26 eV per cell
**Relative energy among the computed polymorphs**: 0 meV/atom

***

Entry from the Alexandria database: an optimized crystal structure of LaCoIr2 (GGA-PBE). Values from VASP.

Structure (Quantum ESPRESSO input):
```
&SYSTEM
  ibrav = 0, nat = 4, ntyp = 3
/
ATOMIC_SPECIES
Ir 192.22 Ir.upf
La 138.91 La.upf
Co 58.93 Co.upf
ATOMIC_POSITIONS angstrom
Ir 1.417 1.894 1.292
La 0.000 0.000 3.288
Ir 0.000 0.000 6.423
Co 1.417 1.894 5.368
CELL_PARAMETERS angstrom
2.834 0.000 0.000
0.000 3.788 0.000
0.000 0.000 6.548
```

Values from the calculation:
**Crystal system**: orthorhombic
**Calculated formation energy**: 0.26 eV/f.u.
**Space-group type**: No. 25
**Total energy**: -29.49 eV per cell

***

| no. | mass density (g/cm3) |
| --- | --- |
| 1 | 10.9 |
| 2 | 2.8 |
| 3 | 7.0 |
| 4 | 13.0 |
| 5 | 10.4 |
| 6 | 13.8 |